Record 1
# Pu3Be, relaxed, DFT PBE-GGA
data_Pu3Be
_chemical_formula_sum 'Pu6 Be2'
_cell_length_a 2.347
_cell_length_b 9.682
_cell_length_c 5.560
_cell_angle_alpha 90.00
_cell_angle_beta 90.00
_cell_angle_gamma 90.00
_space_group_name_H-M_alt 'I m m 2'
_space_group_IT_number 44
loop_
_space_group_symop_operation_xyz
'x,y,z'
'-x,-y,z'
'-x,y,z'
'x,-y,z'
'x+1/2,y+1/2,z+1/2'
'-x+1/2,-y+1/2,z+1/2'
'-x+1/2,y+1/2,z+1/2'
'x+1/2,-y+1/2,z+1/2'
loop_
_atom_site_label
_atom_site_type_symbol
_atom_site_fract_x
_atom_site_fract_y
_atom_site_fract_z
Pu1 Pu 0.000 0.000 0.000
Pu2 Pu 0.000 0.229 0.735
Be1 Be 0.000 0.500 0.990
# Calculated total energy (eV/atom): -11.30
# DFT formation energy (eV/f.u.): 1.54


Record 2
# PuBe4, relaxed, DFT PBE-GGA
data_PuBe4
_chemical_formula_sum 'Pu1 Be4'
_cell_length_a 4.822
_cell_length_b 4.822
_cell_length_c 4.822
_cell_angle_alpha 90.00
_cell_angle_beta 90.00
_cell_angle_gamma 90.00
_space_group_name_H-M_alt 'P m -3 m'
_space_group_IT_number 221
_space_group_name_Hall '-P 4 2 3'
loop_
_atom_site_label
_atom_site_type_symbol
_atom_site_fract_x
_atom_site_fract_y
_atom_site_fract_z
Pu1 Pu 0.000 0.000 0.000
Be1 Be 0.000 0.000 0.500
Be2 Be 0.500 0.500 0.500
# Calculated total energy (eV/atom): -3.47
# DFT formation energy (eV/f.u.): 11.89


Record 3
# PuBe13, relaxed, DFT PBE-GGA
data_PuBe13
_chemical_formula_sum 'Pu8 Be104'
_cell_length_a 10.198
_cell_length_b 10.198
_cell_length_c 10.198
_cell_angle_alpha 90.00
_cell_angle_beta 90.00
_cell_angle_gamma 90.00
_space_group_name_H-M_alt 'F m -3 c'
_space_group_IT_number 226
_space_group_name_Hall '-F 4a 2 3'
loop_
_atom_site_label
_atom_site_type_symbol
_atom_site_fract_x
_atom_site_fract_y
_atom_site_fract_z
Pu1 Pu 0.250 0.250 0.250
Be1 Be 0.000 0.000 0.000
Be2 Be 0.000 0.115 0.176
# Calculated total energy (eV/atom): -4.60
# DFT formation energy (eV/f.u.): -1.69


Record 4
# PuBe, relaxed, DFT PBE-GGA
data_PuBe
_chemical_formula_sum 'Pu2 Be2'
_cell_length_a 2.620
_cell_length_b 4.013
_cell_length_c 5.158
_cell_angle_alpha 90.00
_cell_angle_beta 96.69
_cell_angle_gamma 90.00
_space_group_name_H-M_alt 'P 1 21/m 1'
_space_group_IT_number 11
loop_
_space_group_symop_operation_xyz
'x,y,z'
'-x,-y,-z'
'-x,y+1/2,-z'
'x,-y+1/2,z'
loop_
_atom_site_label
_atom_site_type_symbol
_atom_site_fract_x
_atom_site_fract_y
_atom_site_fract_z
Pu1 Pu 0.080 0.250 0.384
Be1 Be 0.476 0.250 0.908
# Calculated total energy (eV/atom): -8.91
# DFT formation energy (eV/f.u.): 0.24


Record 5
# Pu5Be, relaxed, DFT PBE-GGA
data_Pu5Be
_chemical_formula_sum 'Pu10 Be2'
_cell_length_a 3.998
_cell_length_b 11.265
_cell_length_c 4.783
_cell_angle_alpha 90.00
_cell_angle_beta 90.00
_cell_angle_gamma 90.00
_space_group_name_H-M_alt 'C m m m'
_space_group_IT_number 65
_space_group_name_Hall '-C 2 2'
loop_
_atom_site_label
_atom_site_type_symbol
_atom_site_fract_x
_atom_site_fract_y
_atom_site_fract_z
Pu1 Pu 0.000 0.000 0.000
Pu2 Pu 0.000 0.192 0.500
Pu3 Pu 0.000 0.361 0.000
Be1 Be 0.000 0.500 0.500
# Calculated total energy (eV/atom): -12.32
# DFT formation energy (eV/f.u.): 1.49


Record 6
# Rb3Pu3BeS8, relaxed, DFT PBE-GGA
data_Rb3Pu3BeS8
_chemical_formula_sum 'Rb6 Pu6 Be2 S16'
_cell_length_a 13.693
_cell_length_b 7.910
_cell_length_c 9.021
_cell_angle_alpha 90.00
_cell_angle_beta 120.36
_cell_angle_gamma 90.00
_space_group_name_H-M_alt 'C 1 2/m 1'
_space_group_IT_number 12
loop_
_space_group_symop_operation_xyz
'x,y,z'
'-x,-y,-z'
'-x,y,-z'
'x,-y,z'
'x+1/2,y+1/2,z'
'-x+1/2,-y+1/2,-z'
'-x+1/2,y+1/2,-z'
'x+1/2,-y+1/2,z'
loop_
_atom_site_label
_atom_site_type_symbol
_atom_site_fract_x
_atom_site_fract_y
_atom_site_fract_z
Rb1 Rb 0.000 0.000 0.000
Rb2 Rb 0.250 0.250 0.000
Pu1 Pu 0.000 0.500 0.500
Pu2 Pu 0.250 0.250 0.500
Be1 Be 0.000 0.000 0.500
S1 S 0.021 0.234 0.328
S2 S 0.212 0.000 0.671
S3 S 0.230 0.500 0.691
# Calculated total energy (eV/atom): -6.79
# Formation energy from raw total energies (eV per atom): -1.28


Record 7
# Rb4Pu3BeSe8, relaxed, DFT PBE-GGA
data_Rb4Pu3BeSe8
_chemical_formula_sum 'Rb8 Pu6 Be2 Se16'
_cell_length_a 14.918
_cell_length_b 8.346
_cell_length_c 9.304
_cell_angle_alpha 90.00
_cell_angle_beta 121.58
_cell_angle_gamma 90.00
_space_group_name_H-M_alt 'C 1 2/m 1'
_space_group_IT_number 12
loop_
_space_group_symop_operation_xyz
'x,y,z'
'-x,-y,-z'
'-x,y,-z'
'x,-y,z'
'x+1/2,y+1/2,z'
'-x+1/2,-y+1/2,-z'
'-x+1/2,y+1/2,-z'
'x+1/2,-y+1/2,z'
loop_
_atom_site_label
_atom_site_type_symbol
_atom_site_fract_x
_atom_site_fract_y
_atom_site_fract_z
Rb1 Rb 0.000 0.000 0.000
Rb2 Rb 0.000 0.500 0.000
Rb3 Rb 0.250 0.250 0.000
Pu1 Pu 0.000 0.000 0.500
Pu2 Pu 0.250 0.250 0.500
Be1 Be 0.000 0.500 0.500
Se1 Se 0.019 0.280 0.328
Se2 Se 0.231 0.000 0.697
Se3 Se 0.244 0.500 0.703
# Calculated total energy (eV/atom): -6.06
# Formation energy from raw total energies (eV per atom): -1.16


Record 8
# PuBe4Re, relaxed, DFT PBE-GGA
data_PuBe4Re
_chemical_formula_sum 'Pu4 Be16 Re4'
_cell_length_a 6.612
_cell_length_b 6.612
_cell_length_c 6.612
_cell_angle_alpha 90.00
_cell_angle_beta 90.00
_cell_angle_gamma 90.00
_space_group_name_H-M_alt 'F -4 3 m'
_space_group_IT_number 216
_space_group_name_Hall 'F -4 2 3'
loop_
_atom_site_label
_atom_site_type_symbol
_atom_site_fract_x
_atom_site_fract_y
_atom_site_fract_z
Pu1 Pu 0.000 0.000 0.000
Be1 Be 0.124 0.124 0.624
Re1 Re 0.250 0.250 0.250
# Calculated total energy (eV/atom): -6.84
# DFT formation energy (eV/f.u.): 0.61


Record 9
# Pu2BeRh6, relaxed, DFT PBE-GGA
data_Pu2BeRh6
_chemical_formula_sum 'Pu4 Be2 Rh12'
_cell_length_a 9.851
_cell_length_b 5.689
_cell_length_c 5.125
_cell_angle_alpha 90.00
_cell_angle_beta 90.09
_cell_angle_gamma 90.00
_space_group_name_H-M_alt 'C 1 2/m 1'
_space_group_IT_number 12
loop_
_space_group_symop_operation_xyz
'x,y,z'
'-x,-y,-z'
'-x,y,-z'
'x,-y,z'
'x+1/2,y+1/2,z'
'-x+1/2,-y+1/2,-z'
'-x+1/2,y+1/2,-z'
'x+1/2,-y+1/2,z'
loop_
_atom_site_label
_atom_site_type_symbol
_atom_site_fract_x
_atom_site_fract_y
_atom_site_fract_z
Pu1 Pu 0.166 0.000 0.191
Be1 Be 0.000 0.500 0.000
Rh1 Rh 0.086 0.243 0.709
Rh2 Rh 0.171 0.500 0.291
# Calculated total energy (eV/atom): -8.90
# DFT formation energy (eV/f.u.): -3.63


Record 10
# PuBeRh2, relaxed, DFT PBE-GGA
data_PuBeRh2
_chemical_formula_sum 'Pu4 Be4 Rh8'
_cell_length_a 4.010
_cell_length_b 16.633
_cell_length_c 3.935
_cell_angle_alpha 90.00
_cell_angle_beta 90.00
_cell_angle_gamma 90.00
_space_group_name_H-M_alt 'C m m m'
_space_group_IT_number 65
_space_group_name_Hall '-C 2 2'
loop_
_atom_site_label
_atom_site_type_symbol
_atom_site_fract_x
_atom_site_fract_y
_atom_site_fract_z
Pu1 Pu 0.000 0.142 0.000
Be1 Be 0.000 0.431 0.500
Rh1 Rh 0.000 0.000 0.500
Rh2 Rh 0.000 0.300 0.500
Rh3 Rh 0.000 0.500 0.000
# Calculated total energy (eV/atom): -8.61
# DFT formation energy (eV/f.u.): -1.69


Record 11
# PuBeRh2, relaxed, DFT PBE-GGA
data_PuBeRh2
_chemical_formula_sum 'Pu1 Be1 Rh2'
_cell_length_a 2.958
_cell_length_b 2.958
_cell_length_c 6.817
_cell_angle_alpha 90.00
_cell_angle_beta 90.00
_cell_angle_gamma 90.00
_space_group_name_H-M_alt 'P 4/m m m'
_space_group_IT_number 123
_space_group_name_Hall '-P 4 2'
loop_
_atom_site_label
_atom_site_type_symbol
_atom_site_fract_x
_atom_site_fract_y
_atom_site_fract_z
Pu1 Pu 0.000 0.000 0.000
Be1 Be 0.000 0.000 0.500
Rh1 Rh 0.500 0.500 0.304
# Calculated total energy (eV/atom): -8.60
# DFT formation energy (eV/f.u.): -1.62


Record 12
# PuBe2Rh, relaxed, DFT PBE-GGA
data_PuBe2Rh
_chemical_formula_sum 'Pu1 Be2 Rh1'
_cell_length_a 2.864
_cell_length_b 2.864
_cell_length_c 6.704
_cell_angle_alpha 90.00
_cell_angle_beta 90.00
_cell_angle_gamma 90.00
_space_group_name_H-M_alt 'P 4/m m m'
_space_group_IT_number 123
_space_group_name_Hall '-P 4 2'
loop_
_atom_site_label
_atom_site_type_symbol
_atom_site_fract_x
_atom_site_fract_y
_atom_site_fract_z
Pu1 Pu 0.000 0.000 0.000
Be1 Be 0.500 0.500 0.325
Rh1 Rh 0.000 0.000 0.500
# Calculated total energy (eV/atom): -7.58
# DFT formation energy (eV/f.u.): -1.20


Record 13
# Pu2BeRh6, relaxed, DFT PBE-GGA
data_Pu2BeRh6
_chemical_formula_sum 'Pu8 Be4 Rh24'
_cell_length_a 8.299
_cell_length_b 8.299
_cell_length_c 8.299
_cell_angle_alpha 90.00
_cell_angle_beta 90.00
_cell_angle_gamma 90.00
_space_group_name_H-M_alt 'F m -3 m'
_space_group_IT_number 225
_space_group_name_Hall '-F 4 2 3'
loop_
_atom_site_label
_atom_site_type_symbol
_atom_site_fract_x
_atom_site_fract_y
_atom_site_fract_z
Pu1 Pu 0.250 0.250 0.250
Be1 Be 0.000 0.000 0.000
Rh1 Rh 0.000 0.000 0.263
# Calculated total energy (eV/atom): -8.94
# DFT formation energy (eV/f.u.): -3.95


Record 14
# PuBeRuRh, relaxed, DFT PBE-GGA
data_PuBeRuRh
_chemical_formula_sum 'Pu4 Be4 Ru4 Rh4'
_cell_length_a 6.277
_cell_length_b 6.277
_cell_length_c 6.277
_cell_angle_alpha 90.00
_cell_angle_beta 90.00
_cell_angle_gamma 90.00
_space_group_name_H-M_alt 'F -4 3 m'
_space_group_IT_number 216
_space_group_name_Hall 'F -4 2 3'
loop_
_atom_site_label
_atom_site_type_symbol
_atom_site_fract_x
_atom_site_fract_y
_atom_site_fract_z
Pu1 Pu 0.000 0.000 0.000
Be1 Be 0.000 0.000 0.500
Ru1 Ru 0.250 0.250 0.750
Rh1 Rh 0.250 0.250 0.250
# Calculated total energy (eV/atom): -8.90
# DFT formation energy (eV/f.u.): -0.93


Record 15
# Pu2Be3Si4Rh, relaxed, DFT PBE-GGA
data_Pu2Be3Si4Rh
_chemical_formula_sum 'Pu2 Be3 Si4 Rh1'
_cell_length_a 3.908
_cell_length_b 3.908
_cell_length_c 9.757
_cell_angle_alpha 90.00
_cell_angle_beta 90.00
_cell_angle_gamma 90.00
_space_group_name_H-M_alt 'P -4 m 2'
_space_group_IT_number 115
loop_
_space_group_symop_operation_xyz
'x,y,z'
'y,-x,-z'
'-x,-y,z'
'-y,x,-z'
'-x,y,z'
'-y,-x,-z'
'x,-y,z'
'y,x,-z'
loop_
_atom_site_label
_atom_site_type_symbol
_atom_site_fract_x
_atom_site_fract_y
_atom_site_fract_z
Pu1 Pu 0.000 0.500 0.236
Be1 Be 0.000 0.500 0.871
Be2 Be 0.500 0.500 0.500
Si1 Si 0.000 0.000 0.000
Si2 Si 0.000 0.500 0.640
Si3 Si 0.500 0.500 0.000
Rh1 Rh 0.000 0.000 0.500
# Calculated total energy (eV/atom): -7.34
# Formation energy from raw total energies (eV per atom): -0.45


Record 16
# Pu2Be2SnRh5, relaxed, DFT PBE-GGA
data_Pu2Be2SnRh5
_chemical_formula_sum 'Pu4 Be4 Sn2 Rh10'
_cell_length_a 9.601
_cell_length_b 9.601
_cell_length_c 3.420
_cell_angle_alpha 90.00
_cell_angle_beta 90.00
_cell_angle_gamma 90.00
_space_group_name_H-M_alt 'P 4/m b m'
_space_group_IT_number 127
_space_group_name_Hall '-P 4 2ab'
loop_
_atom_site_label
_atom_site_type_symbol
_atom_site_fract_x
_atom_site_fract_y
_atom_site_fract_z
Pu1 Pu 0.176 0.324 0.000
Be1 Be 0.120 0.620 0.000
Sn1 Sn 0.000 0.000 0.000
Rh1 Rh 0.000 0.500 0.500
Rh2 Rh 0.071 0.783 0.500
# Calculated total energy (eV/atom): -8.29
# DFT formation energy (eV/f.u.): -6.02


Record 17
# Pu2Be2ZnRh5, relaxed, DFT PBE-GGA
data_Pu2Be2ZnRh5
_chemical_formula_sum 'Pu4 Be4 Zn2 Rh10'
_cell_length_a 9.507
_cell_length_b 9.507
_cell_length_c 3.330
_cell_angle_alpha 90.00
_cell_angle_beta 90.00
_cell_angle_gamma 90.00
_space_group_name_H-M_alt 'P 4/m b m'
_space_group_IT_number 127
_space_group_name_Hall '-P 4 2ab'
loop_
_atom_site_label
_atom_site_type_symbol
_atom_site_fract_x
_atom_site_fract_y
_atom_site_fract_z
Pu1 Pu 0.177 0.323 0.000
Be1 Be 0.121 0.621 0.000
Zn1 Zn 0.000 0.000 0.000
Rh1 Rh 0.000 0.500 0.500
Rh2 Rh 0.069 0.788 0.500
# Calculated total energy (eV/atom): -7.96
# DFT formation energy (eV/f.u.): -5.45


Record 18
# PuBe2Ru, relaxed, DFT PBE-GGA
data_PuBe2Ru
_chemical_formula_sum 'Pu1 Be2 Ru1'
_cell_length_a 2.994
_cell_length_b 2.994
_cell_length_c 6.221
_cell_angle_alpha 90.00
_cell_angle_beta 90.00
_cell_angle_gamma 90.00
_space_group_name_H-M_alt 'P 4/m m m'
_space_group_IT_number 123
_space_group_name_Hall '-P 4 2'
loop_
_atom_site_label
_atom_site_type_symbol
_atom_site_fract_x
_atom_site_fract_y
_atom_site_fract_z
Pu1 Pu 0.000 0.000 0.000
Be1 Be 0.500 0.500 0.331
Ru1 Ru 0.000 0.000 0.500
# Calculated total energy (eV/atom): -7.88
# DFT formation energy (eV/f.u.): -0.44


Record 19
# Pu2UBe2Ru5, relaxed, DFT PBE-GGA
data_Pu2UBe2Ru5
_chemical_formula_sum 'Pu4 U2 Be4 Ru10'
_cell_length_a 9.756
_cell_length_b 9.756
_cell_length_c 3.323
_cell_angle_alpha 90.00
_cell_angle_beta 90.00
_cell_angle_gamma 90.00
_space_group_name_H-M_alt 'P 4/m b m'
_space_group_IT_number 127
_space_group_name_Hall '-P 4 2ab'
loop_
_atom_site_label
_atom_site_type_symbol
_atom_site_fract_x
_atom_site_fract_y
_atom_site_fract_z
Pu1 Pu 0.170 0.330 0.000
U1 U 0.000 0.000 0.000
Be1 Be 0.123 0.623 0.000
Ru1 Ru 0.000 0.500 0.500
Ru2 Ru 0.073 0.790 0.500
# Calculated total energy (eV/atom): -9.68
# DFT formation energy (eV/f.u.): -2.99


Which total magnetic moment belongs to each record? In order, 0.0, 7.1, 41.2, 0.0, 5.1, 26.0, 9.1, 16.5, 14.0, 18.4, 4.6, 5.1, 26.2, 16.0, 10.8, 18.2, 18.3, 5.3, 18.7 Bohr magnetons per cell.